1.
First-principles (PBE) data for a relaxed structure of MgPIrO, as listed in OQMD via LeMat-Bulk.

Output
Spin magnetization = 0.000 μB/atom
Crystal system = tetragonal
VASP energy = -6.5573 eV/atom

Unit cell a=3.9510 b=3.9510 c=8.5794 alpha=90.00 beta=90.00 gamma=90.00
Sites, in units of the cell vectors:
Mg: 0.2500 0.2500 0.0029
Mg: 0.7500 0.7500 0.9971
P: 0.2500 0.2500 0.3503
P: 0.7500 0.7500 0.6497
Ir: 0.2500 0.7500 0.5000
Ir: 0.7500 0.2500 0.5000
O: 0.2500 0.7500 0.0000
O: 0.7500 0.2500 0.0000

2.
First-principles (PBE) data for a relaxed structure of BaMgAg2Ge, as listed in OQMD via LeMat-Bulk.

Output
Crystal system = tetragonal
VASP energy = -3.0094 eV/atom

Unit cell a=6.3446 b=6.3446 c=6.3446 alpha=134.70 beta=134.70 gamma=65.99
Sites, in units of the cell vectors:
Ba: 0.0000 0.0000 0.0000
Mg: 0.6285 0.6285 0.0000
Ag: 0.2624 0.7624 0.5000
Ag: 0.7624 0.2624 0.5000
Ge: 0.3695 0.3695 0.0000